Record 1
Compound: MnFe2W
Source: the Alexandria database
Functional: GGA-PBEsol
Structure: relaxed

a = 3.976 Å, b = 3.976 Å, c = 3.031 Å
α = 90.00°, β = 90.00°, γ = 90.00°
Space group P4/mmm (No. 123)
One atom of each set of equivalent atoms:
Mn 0.000 0.000 0.000 x1
Fe 0.000 0.500 0.500 x2
W 0.500 0.500 0.000 x1

## Properties
Calculated total energy (eV per atom): -10.286
Formation energy from the elements (kJ/mol of formula units): 34

---

Record 2
Compound: K4MnAu
Source: the Alexandria database
Functional: GGA-PBEsol
Structure: relaxed

a = 9.873 Å, b = 9.873 Å, c = 9.873 Å
α = 90.00°, β = 90.00°, γ = 90.00°
Space group F-43m (No. 216)
One atom of each set of equivalent atoms:
K 0.124 0.124 0.124 x16
Mn 0.000 0.000 0.500 x4
Au 0.250 0.250 0.750 x4

## Properties
Calculated total energy (eV per atom): -2.219
Formation energy from the elements (kJ/mol of formula units): 473